Crystalline ZrNb2 at its relaxed geometry, computed with PBE-GGA.

```
ZrNb2
1.0
7.408 0.000 0.000
0.000 3.234 0.000
0.000 0.000 10.285
Nb Zr
8 4
direct
0.038 0.250 0.395
0.962 0.750 0.605
0.655 0.250 0.570
0.538 0.250 0.105
0.845 0.750 0.070
0.462 0.750 0.895
0.345 0.750 0.430
0.155 0.250 0.930
0.288 0.250 0.668
0.212 0.750 0.168
0.788 0.250 0.832
0.712 0.750 0.332
```

Calculated values
Total magnetic moment ... 0.042 μB per cell
ΔE_f ... 0.303 eV per atom

---

Crystalline ZrNb2 at its relaxed geometry, computed with PBE-GGA.

```
ZrNb2
1.0
5.592 0.000 0.000
-2.796 4.843 0.000
0.000 0.000 17.969
Zr Nb
8 16
direct
0.333 0.667 0.843
0.000 0.000 0.094
0.667 0.333 0.343
0.000 0.000 0.594
0.000 0.000 0.906
0.667 0.333 0.157
0.333 0.667 0.657
0.000 0.000 0.406
0.500 0.000 0.000
0.333 0.667 0.374
0.000 0.500 0.000
0.838 0.677 0.750
0.162 0.838 0.250
0.667 0.333 0.874
0.677 0.838 0.250
0.500 0.500 0.000
0.838 0.162 0.750
0.500 0.500 0.500
0.500 0.000 0.500
0.667 0.333 0.626
0.323 0.162 0.750
0.000 0.500 0.500
0.333 0.667 0.126
0.162 0.323 0.250
```

Calculated values
Total magnetic moment ... 0.036 μB per cell
ΔE_f ... 0.035 eV per atom

---

Crystalline Nd at its relaxed geometry, computed with PBE-GGA.

```
Nd
1.0
0.000 3.317 -3.317
3.317 0.000 3.317
0.000 -3.317 -3.317
Nd
2
direct
0.000 0.000 0.000
0.250 0.500 0.750
```

Calculated values
Total magnetic moment ... 0.029 μB per cell
ΔE_f ... 1.533 eV per atom
Distance to the lowest polymorph of the same formula ... 1533 meV per atom

---

Crystalline Nd at its relaxed geometry, computed with PBE-GGA.

```
Nd
1.0
0.000 -3.662 0.000
-3.662 0.000 0.000
1.831 1.831 -2.611
Nd
1
direct
0.000 0.000 0.000
```

Calculated values
Total magnetic moment ... 0.004 μB per cell
ΔE_f ... 0.007 eV per atom
Distance to the lowest polymorph of the same formula ... 7 meV per atom

---

Crystalline Nd at its relaxed geometry, computed with PBE-GGA.

```
Nd
1.0
-0.907 3.349 -1.249
1.000 -2.643 -2.369
-11.335 -3.427 -0.962
Nd
4
direct
0.000 0.000 0.000
0.333 0.667 0.250
0.667 0.333 0.750
0.000 0.000 0.500
```

Calculated values
Total magnetic moment ... 0.113 μB per cell
ΔE_f ... 0.000 eV per atom
Distance to the lowest polymorph of the same formula ... 0 meV per atom

---

Crystalline Nd at its relaxed geometry, computed with PBE-GGA.

```
Nd
1.0
3.643 0.000 0.000
1.821 3.230 0.000
0.000 0.000 5.950
Nd
2
direct
0.843 0.314 0.250
0.157 0.686 0.750
```

Calculated values
Total magnetic moment ... 0.014 μB per cell
ΔE_f ... 0.030 eV per atom
Distance to the lowest polymorph of the same formula ... 30 meV per atom

---

Crystalline Nd at its relaxed geometry, computed with PBE-GGA.

```
Nd
1.0
0.000 0.000 -3.541
-3.127 -3.127 1.771
-3.127 3.127 -1.771
Nd
2
direct
0.250 0.500 0.500
0.000 0.000 0.000
```

Calculated values
Total magnetic moment ... 0.009 μB per cell
ΔE_f ... 0.373 eV per atom
Distance to the lowest polymorph of the same formula ... 373 meV per atom

---

Crystalline Nd at its relaxed geometry, computed with PBE-GGA.

```
Nd
1.0
-1.585 -3.070 -0.927
0.922 1.804 -2.948
2.927 -0.705 1.931
Nd
1
direct
0.000 0.000 0.000
```

Calculated values
Total magnetic moment ... 0.473 μB per cell
ΔE_f ... 0.131 eV per atom
Distance to the lowest polymorph of the same formula ... 131 meV per atom

---

Crystalline Nd at its relaxed geometry, computed with PBE-GGA.

```
Nd
1.0
-7.030 4.050 -3.584
-0.281 -6.144 -6.391
-5.401 -4.952 4.998
Nd
20
direct
0.125 0.206 0.456
0.625 0.294 0.544
0.875 0.706 0.044
0.456 0.125 0.206
0.687 0.687 0.687
0.063 0.063 0.063
0.375 0.794 0.956
0.813 0.313 0.187
0.437 0.937 0.563
0.313 0.187 0.813
0.956 0.375 0.794
0.187 0.813 0.313
0.044 0.875 0.706
0.937 0.563 0.437
0.563 0.437 0.937
0.794 0.956 0.375
0.294 0.544 0.625
0.544 0.625 0.294
0.206 0.456 0.125
0.706 0.044 0.875
```

Calculated values
Total magnetic moment ... 0.063 μB per cell
ΔE_f ... 0.147 eV per atom
Distance to the lowest polymorph of the same formula ... 147 meV per atom

---

Crystalline Nd at its relaxed geometry, computed with PBE-GGA.

```
Nd
1.0
1.035 -0.961 3.330
2.331 -0.443 -2.729
0.653 2.603 2.425
Nd
1
direct
0.000 0.000 0.000
```

Calculated values
Total magnetic moment ... 0.001 μB per cell
ΔE_f ... 0.014 eV per atom
Distance to the lowest polymorph of the same formula ... 14 meV per atom

---

Crystalline Nd at its relaxed geometry, computed with PBE-GGA.

```
Nd
1.0
6.512 0.000 0.000
0.000 6.512 0.000
0.000 0.000 6.512
Nd
8
direct
0.750 0.000 0.500
0.000 0.500 0.750
0.000 0.500 0.250
0.000 0.000 0.000
0.500 0.750 0.000
0.250 0.000 0.500
0.500 0.250 0.000
0.500 0.500 0.500
```

Calculated values
Total magnetic moment ... 0.012 μB per cell
ΔE_f ... 0.191 eV per atom
Distance to the lowest polymorph of the same formula ... 191 meV per atom

---

Crystalline Nd at its relaxed geometry, computed with PBE-GGA.

```
Nd
1.0
-3.019 -6.302 0.000
-3.019 6.302 0.000
0.000 0.000 -3.726
Nd
4
direct
0.865 0.135 0.960
0.635 0.365 0.460
0.365 0.635 0.540
0.135 0.865 0.040
```

Calculated values
Total magnetic moment ... 0.013 μB per cell
ΔE_f ... 0.166 eV per atom
Distance to the lowest polymorph of the same formula ... 166 meV per atom

---

- Among the records above, which one has the lowest ΔE_f?
  number 5